Computed, not measured: a relaxed structure of TbPrErSc at the PBE level of DFT.

Values from the calculation:
Spin magnetization, μB/atom: 0.000
Formation energy, eV/atom: 0.059
Distance to the lowest polymorph of the same formula, eV per formula unit: 0.00
ρ, g/cm³: 6.9
Final energy, eV for the cell shown: -20.1

The structure in POSCAR format:
```
TbPrErSc
1.0
1.767 1.020 11.350
-1.767 1.020 11.350
0.000 -2.040 11.350
Tb Pr Er Sc
1 1 1 1
Direct
0.000 0.000 0.000
0.829 0.829 0.829
0.583 0.583 0.583
0.413 0.413 0.413
```